Compound: K2Ge3I8
Source: Alexandria via LeMat-Bulk
Functional: PBE
Structure: relaxed

## Properties
Symmetry: C2/m (12)
Volume (Å³/atom): 43.5
Total energy (eV/atom): -2.83
Density of states at the Fermi level (states/eV/f.u.): 0.0
Polymorph energy (0 for the lowest one) (eV per atom): 0.014
Raw formation energy (eV/atom): -0.65

a = 7.6386 Å, b = 9.3425 Å, c = 9.3425 Å
α = 58.06°, β = 88.16°, γ = 88.16°
Fractional coordinates of all 13 atoms:
I 0.3363 0.1323 0.6601
Ge 0.0000 0.7419 0.2581
I 0.8346 0.8935 0.8935
K 0.5204 0.2641 0.2641
K 0.4796 0.7359 0.7359
I 0.1162 0.6069 0.6069
I 0.3363 0.6601 0.1323
I 0.1654 0.1065 0.1065
I 0.8838 0.3931 0.3931
I 0.6637 0.8677 0.3399
I 0.6637 0.3399 0.8677
Ge 0.5000 0.0000 0.0000
Ge 0.0000 0.2581 0.7419